Compound: ZnAsPbF
Source: the Open Quantum Materials Database
Functional: PBE-GGA
Structure: optimized geometry Values from VASP.

The structure in Quantum ESPRESSO input format:
```
&SYSTEM
  ibrav = 0, nat = 32, ntyp = 4
/
ATOMIC_SPECIES
As 74.92 As.upf
Zn 65.41 Zn.upf
Pb 207.20 Pb.upf
F 19.00 F.upf
CELL_PARAMETERS angstrom
10.2686 0.0000 0.0000
0.0000 16.1833 0.0000
0.0000 0.0000 4.2488
ATOMIC_POSITIONS crystal
As 0.4091 0.5507 0.0000
As 0.9782 0.4210 0.0000
As 0.0218 0.5790 0.0000
As 0.5909 0.4493 0.0000
As 0.9091 0.9493 0.0000
As 0.4782 0.0790 0.0000
As 0.0909 0.0507 0.0000
As 0.5218 0.9210 0.0000
Zn 0.3679 0.0868 0.5000
Zn 0.4375 0.6303 0.5000
Zn 0.0625 0.1303 0.5000
Zn 0.8679 0.4132 0.5000
Zn 0.6321 0.9132 0.5000
Zn 0.9375 0.8697 0.5000
Zn 0.5625 0.3697 0.5000
Zn 0.1321 0.5868 0.5000
Pb 0.5376 0.7384 0.0000
Pb 0.7492 0.0987 0.0000
Pb 0.9624 0.2384 0.0000
Pb 0.2508 0.9013 0.0000
Pb 0.4624 0.2616 0.0000
Pb 0.0376 0.7616 0.0000
Pb 0.7508 0.5987 0.0000
Pb 0.2492 0.4013 0.0000
F 0.2156 0.4638 0.5000
F 0.7156 0.0362 0.5000
F 0.2844 0.9638 0.5000
F 0.7475 0.3153 0.5000
F 0.2525 0.6847 0.5000
F 0.7844 0.5362 0.5000
F 0.7525 0.8153 0.5000
F 0.2475 0.1847 0.5000
```

Summary:
calculated total energy	-0.2644	Ry per atom
energy above the most stable polymorph in this dataset	85	kJ/mol of formula units